Computed, not measured: a relaxed structure of TaBe2Nb2Ir5 at the PBE level of DFT.

Its crystal system is tetragonal. Its symmetry is P4/mbm, No. 127. The formation energy is -5.80 eV/f.u. The value obtained for the total DFT energy (no corrections) is -179.09 eV/cell.

The structure in extended XYZ format:
```
20
Lattice="9.0893 0.0000 0.0000 0.0000 9.0893 0.0000 0.0000 0.0000 3.4926" Properties=species:S:1:pos:R:3 pbc="T T T"
Ta 0.0000 0.0000 0.0000
Ta 4.5446 4.5446 0.0000
Be 1.0832 3.4615 0.0000
Be 3.4615 8.0061 0.0000
Be 5.6278 1.0832 0.0000
Be 8.0061 5.6278 0.0000
Nb 1.5920 6.1366 0.0000
Nb 2.9526 1.5920 0.0000
Nb 6.1366 7.4973 0.0000
Nb 7.4973 2.9526 0.0000
Ir 0.0000 4.5446 1.7463
Ir 0.6686 1.9167 1.7463
Ir 1.9167 8.4207 1.7463
Ir 2.6279 3.8760 1.7463
Ir 3.8760 6.4614 1.7463
Ir 4.5446 0.0000 1.7463
Ir 5.2133 2.6279 1.7463
Ir 6.4614 5.2133 1.7463
Ir 7.1726 0.6686 1.7463
Ir 8.4207 7.1726 1.7463
```